1) VASP calculation (GGA-PBE) on Na2Tl4Sn after structural relaxation.

Output
Its space-group type is P2_1/m.

a b c (Å): 7.6776 6.2001 9.0909
angles (deg): 90.00 94.92 90.00
Positions (direct):
1 Na 0.1537 0.2500 0.4988
2 Na 0.2566 0.2500 0.1503
3 Na 0.7434 0.7500 0.8497
4 Na 0.8463 0.7500 0.5012
5 Tl 0.1183 0.5015 0.8423
6 Tl 0.1183 0.9985 0.8423
7 Tl 0.4179 0.7500 0.6309
8 Tl 0.4725 0.7500 0.0983
9 Tl 0.5275 0.2500 0.9017
10 Tl 0.5821 0.2500 0.3691
11 Tl 0.8817 0.0015 0.1577
12 Tl 0.8817 0.4985 0.1577
13 Sn 0.2123 0.7500 0.3321
14 Sn 0.7877 0.2500 0.6679

***

2) VASP calculation (GGA-PBE) on Na2Tl4Sn after structural relaxation.

Output
Its space-group type is I4/mmm.

a b c (Å): 9.0439 9.0439 9.0439
angles (deg): 142.46 142.46 54.14
Positions (direct):
1 Na 0.1152 0.1152 0.0000
2 Na 0.8848 0.8848 0.0000
3 Tl 0.0000 0.5000 0.5000
4 Tl 0.3103 0.3103 0.0000
5 Tl 0.5000 0.0000 0.5000
6 Tl 0.6897 0.6897 0.0000
7 Sn 0.5000 0.5000 0.0000

***

3) VASP calculation (GGA-PBE) on Na2Tl4Sn after structural relaxation.

Output
Its space-group type is Pbam.

a b c (Å): 7.0229 13.3018 4.6654
angles (deg): 90.00 90.00 90.00
Positions (direct):
1 Na 0.1903 0.1152 0.0000
2 Na 0.3097 0.6152 0.0000
3 Na 0.6903 0.3848 0.0000
4 Na 0.8097 0.8848 0.0000
5 Tl 0.0563 0.7466 0.5000
6 Tl 0.2070 0.3809 0.0000
7 Tl 0.2930 0.8809 0.0000
8 Tl 0.4437 0.2466 0.5000
9 Tl 0.5563 0.7534 0.5000
10 Tl 0.7070 0.1191 0.0000
11 Tl 0.7930 0.6191 0.0000
12 Tl 0.9437 0.2534 0.5000
13 Sn 0.0000 0.5000 0.5000
14 Sn 0.5000 0.0000 0.5000

***

Stability verdict: 3), ahead by 0.023 eV/atom